The following is a PBE calculation of crystalline Pm3HoAl4 at its relaxed geometry, from Alexandria via LeMat-Bulk.

* calculated density: 5.94 g cm⁻³
* formation energy: -36 kJ/mol of atoms
* crystal system: tetragonal
* calculated total energy: -4.601 eV per atom

abc: 3.667 3.667 14.708
angles: 90.00 90.00 90.00
Positions (direct):
Pm (0.000, 0.000, 0.000)
Pm (0.000, 0.000, 0.255)
Pm (0.000, 0.000, 0.745)
Ho (0.000, 0.000, 0.500)
Al (0.500, 0.500, 0.127)
Al (0.500, 0.500, 0.384)
Al (0.500, 0.500, 0.616)
Al (0.500, 0.500, 0.873)